# 1
{"formula": "PmTh5Sc4", "functional": "PBE", "state": "optimized geometry", "cell": [[-2.999, -1.354, 1.142], [-0.745, -1.074, -3.229], [11.171, -21.026, 4.415]], "species": ["Pm", "Th", "Th", "Th", "Th", "Th", "Sc", "Sc", "Sc", "Sc"], "fractional_positions": [[0.000, 0.000, 0.000], [0.500, 0.500, 0.110], [0.500, 0.500, 0.305], [0.500, 0.500, 0.500], [0.500, 0.500, 0.695], [0.500, 0.500, 0.890], [0.000, 0.000, 0.207], [0.000, 0.000, 0.402], [0.000, 0.000, 0.598], [0.000, 0.000, 0.793]], "dft_energy_ev_per_atom": -6.677, "spacegroup": "P4/mmm"}

---

# 2
{"formula": "MgTa2Se", "functional": "PBE", "state": "optimized geometry", "cell": [[4.773, 0.000, 0.000], [0.000, 4.773, 0.000], [0.000, 0.000, 3.112]], "species": ["Mg", "Se", "Ta", "Ta"], "fractional_positions": [[0.500, 0.000, 0.500], [0.000, 0.500, 0.500], [0.000, 0.000, 0.000], [0.500, 0.500, 0.000]], "formation_energy_uncorrected_ev_per_fu": 1.61, "spacegroup": "P4/mmm"}